(a)
Ga2SnC: optimized geometry, PBE.

abc: 5.734 5.734 9.487
angles: 90.00 90.00 90.00
Space group I-42d (No. 122)
Asymmetric unit:
Ga: 0.134 0.250 0.125 [8 per cell]
Sn: 0.000 0.000 0.500 [4 per cell]
C: 0.000 0.000 0.000 [4 per cell]

Values from the calculation:
Total magnetic moment in μB/cell: 0.00
DOS at the Fermi energy in states/eV per atom: 0.04


(b)
Ga2SnC: optimized geometry, PBE.

abc: 6.617 6.617 6.617
angles: 90.00 90.00 90.00
Space group Fm-3m (No. 225)
Asymmetric unit:
Ga: 0.250 0.250 0.250 [8 per cell]
Sn: 0.000 0.000 0.000 [4 per cell]
C: 0.000 0.000 0.500 [4 per cell]

Values from the calculation:
Total magnetic moment in μB/cell: 0.00
DOS at the Fermi energy in states/eV per atom: 0.49


Which one sits at the bottom of the stability order? (b) does.


(a)
Ta4GaC: optimized geometry, PBE.

abc: 5.725 5.720 6.019
angles: 90.00 96.72 90.00
Space group P2_1/c (No. 14)
Asymmetric unit:
Ta: 0.101 0.164 0.185 [4 per cell]
Ta: 0.336 0.620 0.109 [4 per cell]
Ga: 0.500 0.000 0.000 [2 per cell]
C: 0.000 0.000 0.500 [2 per cell]

Values from the calculation:
Total magnetic moment in μB/cell: 0.00
DOS at the Fermi energy in states/eV per atom: 0.62


(b)
Ta4GaC: optimized geometry, PBE.

abc: 5.939 5.939 5.134
angles: 90.00 90.00 90.00
Space group P4/mcc (No. 124)
Asymmetric unit:
Ta: 0.138 0.311 0.000 [8 per cell]
Ga: 0.500 0.500 0.250 [2 per cell]
C: 0.000 0.000 0.250 [2 per cell]

Values from the calculation:
Total magnetic moment in μB/cell: 0.00
DOS at the Fermi energy in states/eV per atom: 0.36


Which one sits at the bottom of the stability order? (a) does.


(a)
TaGaC3: optimized geometry, PBE.

abc: 4.237 4.237 4.237
angles: 90.00 90.00 90.00
Space group Pm-3m (No. 221)
Asymmetric unit:
Ta: 0.000 0.000 0.000 [1 per cell]
Ga: 0.500 0.500 0.500 [1 per cell]
C: 0.000 0.000 0.500 [3 per cell]

Values from the calculation:
Total magnetic moment in μB/cell: 0.00
DOS at the Fermi energy in states/eV per atom: 0.56


(b)
TaGaC3: optimized geometry, PBE.

abc: 3.852 3.852 3.852
angles: 90.00 90.00 90.00
Space group Pm-3m (No. 221)
Asymmetric unit:
Ta: 0.000 0.000 0.000 [1 per cell]
Ga: 0.500 0.500 0.500 [1 per cell]
C: 0.000 0.500 0.500 [3 per cell]

Values from the calculation:
Total magnetic moment in μB/cell: 0.00
DOS at the Fermi energy in states/eV per atom: 0.65


Which one sits at the bottom of the stability order? (b) does.


(a)
Tb4Ga2C: optimized geometry, PBE.

abc: 15.827 3.625 6.220
angles: 90.00 111.68 90.00
Space group C2/m (No. 12)
Asymmetric unit:
Tb: 0.085 0.000 0.410 [4 per cell]
Tb: 0.110 0.500 0.972 [4 per cell]
Ga: 0.239 0.500 0.674 [4 per cell]
C: 0.000 0.000 0.000 [2 per cell]

Values from the calculation:
Total magnetic moment in μB/cell: 0.00
DOS at the Fermi energy in states/eV per atom: 0.60


(b)
Tb4Ga2C: optimized geometry, PBE.

abc: 12.190 3.746 8.593
angles: 90.00 124.05 90.00
Space group C2/m (No. 12)
Asymmetric unit:
Tb: 0.085 0.000 0.338 [4 per cell]
Tb: 0.155 0.500 0.063 [4 per cell]
Ga: 0.122 0.500 0.658 [4 per cell]
C: 0.000 0.000 0.000 [2 per cell]

Values from the calculation:
Total magnetic moment in μB/cell: 2.01
DOS at the Fermi energy in states/eV per atom: 0.74


(c)
Tb4Ga2C: optimized geometry, PBE.

abc: 4.923 4.923 14.227
angles: 90.00 90.00 90.00
Space group I4/mmm (No. 139)
Asymmetric unit:
Tb: 0.000 0.000 0.172 [4 per cell]
Tb: 0.000 0.500 0.000 [4 per cell]
Ga: 0.000 0.000 0.377 [4 per cell]
C: 0.000 0.000 0.000 [2 per cell]

Values from the calculation:
Total magnetic moment in μB/cell: 0.00
DOS at the Fermi energy in states/eV per atom: 0.06


Which one sits at the bottom of the stability order? (a) does.


(a)
TbGaC: optimized geometry, PBE.

abc: 3.937 3.937 14.306
angles: 90.00 90.00 90.00
Space group I4/mmm (No. 139)
Asymmetric unit:
Tb: 0.000 0.000 0.121 [4 per cell]
Ga: 0.000 0.000 0.315 [4 per cell]
C: 0.000 0.000 0.452 [4 per cell]

Values from the calculation:
Total magnetic moment in μB/cell: 0.00
DOS at the Fermi energy in states/eV per atom: 0.54


(b)
TbGaC: optimized geometry, PBE.

abc: 7.477 3.962 7.526
angles: 90.00 106.65 90.00
Space group C2/m (No. 12)
Asymmetric unit:
Tb: 0.085 0.000 0.309 [4 per cell]
Ga: 0.168 0.500 0.025 [4 per cell]
C: 0.091 0.500 0.541 [4 per cell]

Values from the calculation:
Total magnetic moment in μB/cell: 0.00
DOS at the Fermi energy in states/eV per atom: 0.12


Which one sits at the bottom of the stability order? (a) does.


(a)
GaTc2C: optimized geometry, PBE.

abc: 3.0644 3.0644 21.4833
angles: 90.00 90.00 120.00
Space group R-3m (No. 166, hexagonal axes)
Asymmetric unit:
Ga: 0.0000 0.0000 0.0000 [3 per cell]
Tc: 0.0000 0.0000 0.1160 [6 per cell]
C: 0.0000 0.0000 0.5000 [3 per cell]

Values from the calculation:
Total magnetic moment in μB/cell: 0.00
DOS at the Fermi energy in states/eV per atom: 0.44


(b)
GaTc2C: optimized geometry, PBE.

abc: 5.817 5.817 5.817
angles: 90.00 90.00 90.00
Space group Fm-3m (No. 225)
Asymmetric unit:
Ga: 0.000 0.000 0.000 [4 per cell]
Tc: 0.250 0.250 0.250 [8 per cell]
C: 0.000 0.000 0.500 [4 per cell]

Values from the calculation:
Total magnetic moment in μB/cell: 0.00
DOS at the Fermi energy in states/eV per atom: 1.11


(c)
GaTc2C: optimized geometry, PBE.

abc: 6.631 6.631 4.802
angles: 90.00 90.00 90.00
Space group I-42d (No. 122)
Asymmetric unit:
Ga: 0.000 0.000 0.000 [4 per cell]
Tc: 0.154 0.250 0.625 [8 per cell]
C: 0.000 0.000 0.500 [4 per cell]

Values from the calculation:
Total magnetic moment in μB/cell: 0.00
DOS at the Fermi energy in states/eV per atom: 0.92


Which one sits at the bottom of the stability order? (b) does.


(a)
GaTcC3: optimized geometry, PBE.

abc: 3.865 3.865 3.865
angles: 90.00 90.00 90.00
Space group Pm-3m (No. 221)
Asymmetric unit:
Ga: 0.000 0.000 0.000 [1 per cell]
Tc: 0.500 0.500 0.500 [1 per cell]
C: 0.000 0.000 0.500 [3 per cell]

Values from the calculation:
Total magnetic moment in μB/cell: 0.00
DOS at the Fermi energy in states/eV per atom: 0.65


(b)
GaTcC3: optimized geometry, PBE.

abc: 4.051 4.051 4.051
angles: 90.00 90.00 90.00
Space group Pm-3m (No. 221)
Asymmetric unit:
Ga: 0.000 0.000 0.000 [1 per cell]
Tc: 0.500 0.500 0.500 [1 per cell]
C: 0.000 0.500 0.500 [3 per cell]

Values from the calculation:
Total magnetic moment in μB/cell: 0.00
DOS at the Fermi energy in states/eV per atom: 0.57


Which one sits at the bottom of the stability order? (a) does.


(a)
Ga3TeC: optimized geometry, PBE.

abc: 4.541 4.541 4.541
angles: 90.00 90.00 90.00
Space group Pm-3m (No. 221)
Asymmetric unit:
Ga: 0.000 0.000 0.500 [3 per cell]
Te: 0.500 0.500 0.500 [1 per cell]
C: 0.000 0.000 0.000 [1 per cell]

Values from the calculation:
Total magnetic moment in μB/cell: 0.00
DOS at the Fermi energy in states/eV per atom: 0.76


(b)
Ga3TeC: optimized geometry, PBE.

abc: 5.774 5.774 5.774
angles: 90.00 90.00 90.00
Space group Pm-3m (No. 221)
Asymmetric unit:
Ga: 0.000 0.000 0.500 [3 per cell]
Te: 0.000 0.000 0.000 [1 per cell]
C: 0.500 0.500 0.500 [1 per cell]

Values from the calculation:
Total magnetic moment in μB/cell: 2.50
DOS at the Fermi energy in states/eV per atom: 0.53


Which one sits at the bottom of the stability order? (b) does.